(1)
## GaNiMoPt (GGA-PBE)

Data for a relaxed structure of GaNiMoPt.

Output
- SG = F-43m, No. 216
- crystal system = cubic
- excess energy over the best structure of this formula in the dataset (meV per atom) = 0.0

Cell: 4.3280 4.3280 4.3280 Å, 60.00 60.00 60.00°
Last column: nearest neighbours and their distance in Å.
Positions (direct):
Ga  0.0000  0.0000  0.0000  4 Mo 2.65, 4 Ni 2.65
Ni  0.7500  0.7500  0.7500  4 Pt 2.65, 4 Ga 2.65
Mo  0.2500  0.2500  0.2500  4 Ga 2.65, 4 Pt 2.65
Pt  0.5000  0.5000  0.5000  4 Ni 2.65, 4 Mo 2.65

(2)
## NdBeIn (GGA-PBE)

Data for a relaxed structure of NdBeIn.

Output
- SG = F-43m, No. 216
- crystal system = cubic
- excess energy over the best structure of this formula in the dataset (meV per atom) = 400.5

Cell: 4.8025 4.8025 4.8025 Å, 60.00 60.00 60.00°
Last column: nearest neighbours and their distance in Å.
Positions (direct):
Be  0.2500  0.2500  0.2500  4 In 2.94
Nd  0.7500  0.7500  0.7500  4 In 2.94
In  0.0000  0.0000  0.0000  4 Nd 2.94, 4 Be 2.94

(3)
## PtS2 (GGA-PBE)

Data for a relaxed structure of PtS2.

Output
- SG = C2, No. 5
- crystal system = monoclinic

Cell: 3.4726 3.4726 20.3945 Å, 91.76 91.76 119.92°
Last column: nearest neighbours and their distance in Å.
Positions (direct):
Pt  0.0711  0.9289  0.0000  6 S 2.44-2.45
S  0.7609  0.2882  0.0683  3 Pt 2.44-2.45
S  0.7118  0.2391  0.9317  3 Pt 2.44-2.45

(4)
## ErSn2 (GGA-PBE)

Data for a relaxed structure of ErSn2.

Output
- SG = Fd-3m, No. 227
- crystal system = cubic

Cell: 6.1323 6.1323 6.1323 Å, 60.00 60.00 60.00°
Last column: nearest neighbours and their distance in Å.
Positions (direct):
Er  0.0000  0.0000  0.0000  12 Sn 3.60, 4 Er 3.76
Er  0.2500  0.2500  0.2500  12 Sn 3.60, 4 Er 3.76
Sn  0.6250  0.6250  0.6250  6 Sn 3.07
Sn  0.6250  0.6250  0.1250  6 Sn 3.07
Sn  0.1250  0.6250  0.6250  6 Sn 3.07
Sn  0.6250  0.1250  0.6250  6 Sn 3.07

| no. | raw total energy (eV/cell) |
| --- | --- |
| 1 | -26.05 |
| 2 | -10.62 |
| 3 | -13.59 |
| 4 | -26.19 |